Entry 1:
First-principles (PBE) data for a relaxed Ti3Al3ReRu2 crystal, as listed in Alexandria.

Cell lengths 7.2466, 7.2466, 3.0668 Å; angles 90.00, 90.00, 120.00 degrees
With the nearest neighbours (Å) after each atom.
Fractional coordinates of all 9 atoms:
Ti (0.0000, 0.7134, 0.0000)  2 Re 2.58, 2 Ru 2.60
Ti (0.2866, 0.2866, 0.0000)  2 Re 2.58, 2 Ru 2.60
Ti (0.7134, 0.0000, 0.0000)  2 Re 2.58, 2 Ru 2.60
Al (0.0000, 0.3750, 0.5000)  1 Re 2.72, 4 Ru 2.75, 6 Ti 2.89-2.90
Al (0.3750, 0.0000, 0.5000)  1 Re 2.72, 4 Ru 2.75, 6 Ti 2.89-2.90
Al (0.6250, 0.6250, 0.5000)  1 Re 2.72, 4 Ru 2.75, 6 Ti 2.89-2.90
Re (0.0000, 0.0000, 0.5000)  6 Ti 2.58, 3 Al 2.72
Ru (0.3333, 0.6667, 0.0000)  3 Ti 2.60, 6 Al 2.75
Ru (0.6667, 0.3333, 0.0000)  3 Ti 2.60, 6 Al 2.75

Calculated values
As for the formation energy: -0.48 eV/atom. As for the symmetry: P-62m. The total energy is -7.7994 eV per atom.


Entry 2:
First-principles (PBE) data for a relaxed UAlReRu crystal, as listed in Alexandria.

Cell lengths 6.4809, 6.4809, 6.4809 Å; angles 90.00, 90.00, 90.00 degrees
With the nearest neighbours (Å) after each atom.
Fractional coordinates of all 16 atoms:
U (0.0000, 0.0000, 0.0000)  4 Re 2.81, 4 Ru 2.81
U (0.0000, 0.5000, 0.5000)  4 Re 2.81, 4 Ru 2.81
U (0.5000, 0.0000, 0.5000)  4 Re 2.81, 4 Ru 2.81
U (0.5000, 0.5000, 0.0000)  4 Re 2.81, 4 Ru 2.81
Al (0.0000, 0.0000, 0.5000)  4 Ru 2.81, 4 Re 2.81
Al (0.0000, 0.5000, 0.0000)  4 Ru 2.81, 4 Re 2.81
Al (0.5000, 0.0000, 0.0000)  4 Ru 2.81, 4 Re 2.81
Al (0.5000, 0.5000, 0.5000)  4 Ru 2.81, 4 Re 2.81
Re (0.2500, 0.2500, 0.2500)  4 Al 2.81, 4 U 2.81
Re (0.2500, 0.7500, 0.7500)  4 Al 2.81, 4 U 2.81
Re (0.7500, 0.2500, 0.7500)  4 Al 2.81, 4 U 2.81
Re (0.7500, 0.7500, 0.2500)  4 Al 2.81, 4 U 2.81
Ru (0.2500, 0.2500, 0.7500)  4 U 2.81, 4 Al 2.81
Ru (0.2500, 0.7500, 0.2500)  4 U 2.81, 4 Al 2.81
Ru (0.7500, 0.2500, 0.2500)  4 U 2.81, 4 Al 2.81
Ru (0.7500, 0.7500, 0.7500)  4 U 2.81, 4 Al 2.81

Calculated values
As for the formation energy: -0.16 eV/atom. As for the symmetry: F-43m. The total energy is -9.3527 eV per atom.


Entry 3:
First-principles (PBE) data for a relaxed AlVReRu crystal, as listed in Alexandria.

Cell lengths 6.0585, 6.0585, 6.0585 Å; angles 90.00, 90.00, 90.00 degrees
With the nearest neighbours (Å) after each atom.
Fractional coordinates of all 16 atoms:
Al (0.0000, 0.0000, 0.0000)  4 Re 2.62, 4 Ru 2.62
Al (0.0000, 0.5000, 0.5000)  4 Re 2.62, 4 Ru 2.62
Al (0.5000, 0.0000, 0.5000)  4 Re 2.62, 4 Ru 2.62
Al (0.5000, 0.5000, 0.0000)  4 Re 2.62, 4 Ru 2.62
V (0.0000, 0.0000, 0.5000)  4 Re 2.62, 4 Ru 2.62
V (0.0000, 0.5000, 0.0000)  4 Re 2.62, 4 Ru 2.62
V (0.5000, 0.0000, 0.0000)  4 Re 2.62, 4 Ru 2.62
V (0.5000, 0.5000, 0.5000)  4 Re 2.62, 4 Ru 2.62
Re (0.2500, 0.2500, 0.2500)  4 Al 2.62, 4 V 2.62
Re (0.2500, 0.7500, 0.7500)  4 Al 2.62, 4 V 2.62
Re (0.7500, 0.2500, 0.7500)  4 Al 2.62, 4 V 2.62
Re (0.7500, 0.7500, 0.2500)  4 Al 2.62, 4 V 2.62
Ru (0.2500, 0.2500, 0.7500)  4 Al 2.62, 4 V 2.62
Ru (0.2500, 0.7500, 0.2500)  4 Al 2.62, 4 V 2.62
Ru (0.7500, 0.2500, 0.2500)  4 Al 2.62, 4 V 2.62
Ru (0.7500, 0.7500, 0.7500)  4 Al 2.62, 4 V 2.62

Calculated values
As for the formation energy: -0.39 eV/atom. As for the symmetry: F-43m. The total energy is -9.0384 eV per atom.


Entry 4:
First-principles (PBE) data for a relaxed AlZnRe2Ru crystal, as listed in Alexandria.

Cell lengths 4.4981, 4.4981, 4.4523 Å; angles 90.00, 90.00, 90.00 degrees
With the nearest neighbours (Å) after each atom.
Fractional coordinates of all 5 atoms:
Al (0.0000, 0.0000, 0.0000)  8 Re 3.16, 4 Ru 3.18
Zn (0.5000, 0.5000, 0.5000)  2 Ru 2.23, 4 Re 2.25
Re (0.0000, 0.5000, 0.5000)  2 Zn 2.25
Re (0.5000, 0.0000, 0.5000)  2 Zn 2.25
Ru (0.5000, 0.5000, 0.0000)  2 Zn 2.23

Calculated values
As for the formation energy: 1.78 eV/atom. As for the symmetry: P4/mmm. The total energy is -6.0573 eV per atom.


Entry 5:
First-principles (PBE) data for a relaxed AlRe3S crystal, as listed in Alexandria.

Cell lengths 4.3464, 4.3464, 4.3464 Å; angles 90.00, 90.00, 90.00 degrees
With the nearest neighbours (Å) after each atom.
Fractional coordinates of all 5 atoms:
Al (0.0000, 0.0000, 0.0000)  12 Re 3.07
Re (0.0000, 0.5000, 0.5000)  2 S 2.17
Re (0.5000, 0.0000, 0.5000)  2 S 2.17
Re (0.5000, 0.5000, 0.0000)  2 S 2.17
S (0.5000, 0.5000, 0.5000)  6 Re 2.17

Calculated values
As for the symmetry: Pm-3m. The raw formation energy is 0.883 eV per atom. The total energy is -8.1602 eV per atom. The value obtained for the offset from the most stable computed form is 0.0 kJ per mole of atoms.


Entry 6:
First-principles (PBE) data for a relaxed Al2ReS crystal, as listed in Alexandria.

Cell lengths 6.7715, 6.7715, 5.4976 Å; angles 90.00, 90.00, 90.00 degrees
With the nearest neighbours (Å) after each atom.
Fractional coordinates of all 16 atoms:
Al (0.2224, 0.2500, 0.1250)  2 S 2.37, 2 Re 2.62
Al (0.2500, 0.7224, 0.3750)  2 S 2.37, 2 Re 2.62
Al (0.2500, 0.7776, 0.8750)  2 S 2.37, 2 Re 2.62
Al (0.2776, 0.2500, 0.6250)  2 S 2.37, 2 Re 2.62
Al (0.7224, 0.7500, 0.6250)  2 S 2.37, 2 Re 2.62
Al (0.7500, 0.2224, 0.8750)  2 S 2.37, 2 Re 2.62
Al (0.7500, 0.2776, 0.3750)  2 S 2.37, 2 Re 2.62
Al (0.7776, 0.7500, 0.1250)  2 S 2.37, 2 Re 2.62
Re (0.0000, 0.0000, 0.5000)  4 Al 2.62, 2 S 2.75
Re (0.0000, 0.5000, 0.7500)  4 Al 2.62, 2 S 2.75
Re (0.5000, 0.0000, 0.2500)  4 Al 2.62, 2 S 2.75
Re (0.5000, 0.5000, 0.0000)  4 Al 2.62, 2 S 2.75
S (0.0000, 0.0000, 0.0000)  4 Al 2.37
S (0.0000, 0.5000, 0.2500)  4 Al 2.37
S (0.5000, 0.0000, 0.7500)  4 Al 2.37
S (0.5000, 0.5000, 0.5000)  4 Al 2.37

Calculated values
As for the symmetry: I-42d. The raw formation energy is 0.345 eV per atom. The total energy is -5.6701 eV per atom.


Entry 7:
First-principles (PBE) data for a relaxed AlReS2 crystal, as listed in Alexandria.

Cell lengths 3.1824, 3.1824, 22.4016 Å; angles 90.00, 90.00, 120.00 degrees
With the nearest neighbours (Å) after each atom.
Fractional coordinates of all 12 atoms:
Al (0.0000, 0.0000, 0.0000)  6 S 2.33
Al (0.3333, 0.6667, 0.6667)  6 S 2.33
Al (0.6667, 0.3333, 0.3333)  6 S 2.33
Re (0.0000, 0.0000, 0.5000)  2 S 2.30
Re (0.3333, 0.6667, 0.1667)  2 S 2.30
Re (0.6667, 0.3333, 0.8333)  2 S 2.30
S (0.0000, 0.0000, 0.3975)  1 Re 2.30, 3 Al 2.33
S (0.0000, 0.0000, 0.6025)  1 Re 2.30, 3 Al 2.33
S (0.3333, 0.6667, 0.0642)  1 Re 2.30, 3 Al 2.33
S (0.3333, 0.6667, 0.2691)  1 Re 2.30, 3 Al 2.33
S (0.6667, 0.3333, 0.7309)  1 Re 2.30, 3 Al 2.33
S (0.6667, 0.3333, 0.9358)  1 Re 2.30, 3 Al 2.33

Calculated values
As for the symmetry: R-3m. The raw formation energy is -0.055 eV per atom. The total energy is -6.1669 eV per atom.


Entry 8:
First-principles (PBE) data for a relaxed AlReS2 crystal, as listed in Alexandria.

Cell lengths 3.0958, 3.0958, 25.0603 Å; angles 90.00, 90.00, 120.00 degrees
With the nearest neighbours (Å) after each atom.
Fractional coordinates of all 12 atoms:
Al (0.0000, 0.0000, 0.0000)  2 S 2.55
Al (0.3333, 0.6667, 0.6667)  2 S 2.55
Al (0.6667, 0.3333, 0.3333)  2 S 2.55
Re (0.0000, 0.0000, 0.5000)  6 S 2.42
Re (0.3333, 0.6667, 0.1667)  6 S 2.42
Re (0.6667, 0.3333, 0.8333)  6 S 2.42
S (0.0000, 0.0000, 0.1017)  3 Re 2.42, 1 Al 2.55
S (0.0000, 0.0000, 0.8983)  3 Re 2.42, 1 Al 2.55
S (0.3333, 0.6667, 0.5649)  3 Re 2.42, 1 Al 2.55
S (0.3333, 0.6667, 0.7684)  3 Re 2.42, 1 Al 2.55
S (0.6667, 0.3333, 0.2316)  3 Re 2.42, 1 Al 2.55
S (0.6667, 0.3333, 0.4351)  3 Re 2.42, 1 Al 2.55

Calculated values
As for the symmetry: R-3m. The raw formation energy is -0.070 eV per atom. The total energy is -6.1816 eV per atom.


Entry 9:
First-principles (PBE) data for a relaxed AlReS crystal, as listed in Alexandria.

Cell lengths 3.0541, 3.0541, 24.1144 Å; angles 90.00, 90.00, 120.00 degrees
With the nearest neighbours (Å) after each atom.
Fractional coordinates of all 12 atoms:
Al (0.3333, 0.6667, 0.1273)  6 Re 2.71-2.73
Al (0.3333, 0.6667, 0.6344)  3 S 2.23
Al (0.6667, 0.3333, 0.3656)  3 S 2.23
Al (0.6667, 0.3333, 0.8727)  6 Re 2.71-2.73
Re (0.3333, 0.6667, 0.7873)  3 S 2.40
Re (0.3333, 0.6667, 0.9590)  3 Re 2.65, 3 Al 2.73
Re (0.6667, 0.3333, 0.0410)  3 Re 2.65, 3 Al 2.73
Re (0.6667, 0.3333, 0.2127)  3 S 2.40
S (0.3333, 0.6667, 0.2805)  3 Re 2.40
S (0.3333, 0.6667, 0.4224)  3 Al 2.23
S (0.6667, 0.3333, 0.5776)  3 Al 2.23
S (0.6667, 0.3333, 0.7195)  3 Re 2.40

Calculated values
As for the symmetry: P-3m1. The raw formation energy is -0.098 eV per atom. The total energy is -6.8708 eV per atom.


Entry 10:
First-principles (PBE) data for a relaxed AlReS2 crystal, as listed in Alexandria.

Cell lengths 5.3603, 5.3603, 10.3709 Å; angles 90.00, 90.00, 90.00 degrees
With the nearest neighbours (Å) after each atom.
Fractional coordinates of all 16 atoms:
Al (0.0000, 0.0000, 0.0000)  4 S 2.29
Al (0.0000, 0.5000, 0.2500)  4 S 2.29
Al (0.5000, 0.0000, 0.7500)  4 S 2.29
Al (0.5000, 0.5000, 0.5000)  4 S 2.29
Re (0.0000, 0.0000, 0.5000)  4 S 2.30
Re (0.0000, 0.5000, 0.7500)  4 S 2.30
Re (0.5000, 0.0000, 0.2500)  4 S 2.30
Re (0.5000, 0.5000, 0.0000)  4 S 2.30
S (0.2478, 0.2500, 0.1250)  2 Al 2.29, 2 Re 2.30
S (0.2500, 0.7478, 0.3750)  2 Al 2.29, 2 Re 2.30
S (0.2500, 0.7522, 0.8750)  2 Al 2.29, 2 Re 2.30
S (0.2522, 0.2500, 0.6250)  2 Al 2.29, 2 Re 2.30
S (0.7478, 0.7500, 0.6250)  2 Al 2.29, 2 Re 2.30
S (0.7500, 0.2478, 0.8750)  2 Al 2.29, 2 Re 2.30
S (0.7500, 0.2522, 0.3750)  2 Al 2.29, 2 Re 2.30
S (0.7522, 0.7500, 0.1250)  2 Al 2.29, 2 Re 2.30

Calculated values
As for the symmetry: I-42d. The raw formation energy is -0.023 eV per atom. The total energy is -6.1341 eV per atom.


Entry 11:
First-principles (PBE) data for a relaxed AlReTe2S crystal, as listed in Alexandria.

Cell lengths 5.1069, 5.1069, 4.9094 Å; angles 90.00, 90.00, 90.00 degrees
With the nearest neighbours (Å) after each atom.
Fractional coordinates of all 5 atoms:
Al (0.0000, 0.0000, 0.0000)  2 Re 2.45
Re (0.0000, 0.0000, 0.5000)  2 Al 2.45, 4 Te 2.55
Te (0.0000, 0.5000, 0.5000)  2 Re 2.55
Te (0.5000, 0.0000, 0.5000)  2 Re 2.55
S (0.5000, 0.5000, 0.0000)  8 Te 3.54, 4 Al 3.61

Calculated values
As for the symmetry: P4/mmm. The raw formation energy is 0.603 eV per atom. The total energy is -4.7171 eV per atom. The value obtained for the offset from the most stable computed form is 0.0 kJ per mole of atoms.


Entry 12:
First-principles (PBE) data for a relaxed AlReTe2S crystal, as listed in Alexandria.

Cell lengths 5.4712, 5.4712, 4.3158 Å; angles 90.00, 90.00, 90.00 degrees
With the nearest neighbours (Å) after each atom.
Fractional coordinates of all 5 atoms:
Al (0.0000, 0.0000, 0.0000)  8 Te 3.48, 4 Re 3.87
Re (0.5000, 0.5000, 0.0000)  2 S 2.16
Te (0.0000, 0.5000, 0.5000)  2 S 2.74
Te (0.5000, 0.0000, 0.5000)  2 S 2.74
S (0.5000, 0.5000, 0.5000)  2 Re 2.16

Calculated values
As for the symmetry: P4/mmm. The raw formation energy is 1.049 eV per atom. The total energy is -4.2714 eV per atom. The value obtained for the offset from the most stable computed form is 43.0 kJ per mole of atoms.


Entry 13:
First-principles (PBE) data for a relaxed AlTl2ReS crystal, as listed in Alexandria.

Cell lengths 5.3735, 5.3735, 4.8152 Å; angles 90.00, 90.00, 90.00 degrees
With the nearest neighbours (Å) after each atom.
Fractional coordinates of all 5 atoms:
Al (0.0000, 0.0000, 0.0000)  2 Re 2.41
Tl (0.0000, 0.5000, 0.5000)  2 Re 2.69
Tl (0.5000, 0.0000, 0.5000)  2 Re 2.69
Re (0.0000, 0.0000, 0.5000)  2 Al 2.41, 4 Tl 2.69
S (0.5000, 0.5000, 0.0000)  8 Tl 3.61, 4 Al 3.80

Calculated values
As for the symmetry: P4/mmm. The raw formation energy is 0.811 eV per atom. The total energy is -4.1996 eV per atom.


Entry 14:
First-principles (PBE) data for a relaxed YAlReS2 crystal, as listed in Alexandria.

Cell lengths 4.6049, 4.6049, 4.7305 Å; angles 90.00, 90.00, 90.00 degrees
With the nearest neighbours (Å) after each atom.
Fractional coordinates of all 5 atoms:
Y (0.0000, 0.0000, 0.0000)  4 Re 3.26, 8 S 3.30
Al (0.5000, 0.5000, 0.5000)  4 S 2.30, 2 Re 2.37
Re (0.5000, 0.5000, 0.0000)  2 Al 2.37
S (0.0000, 0.5000, 0.5000)  2 Al 2.30
S (0.5000, 0.0000, 0.5000)  2 Al 2.30

Calculated values
As for the symmetry: P4/mmm. The raw formation energy is 0.267 eV per atom. The total energy is -5.9154 eV per atom.